No. 1
Compound: K2Lu4Cu4S9
Source: OQMD via LeMat-Bulk
Functional: PBE
Structure: optimized geometry

```
K2Lu4Cu4S9
1.0
6.8114 -1.9471 0.0000
6.8114 1.9471 0.0000
-5.2794 0.0000 14.7466
K Lu Cu S
2 4 4 9
direct
0.0292 0.0292 0.2699
0.9708 0.9708 0.7301
0.2334 0.2334 0.1048
0.3454 0.3454 0.4453
0.6546 0.6546 0.5547
0.7666 0.7666 0.8952
0.2459 0.2459 0.7288
0.4315 0.4315 0.0408
0.5685 0.5685 0.9592
0.7541 0.7541 0.2712
0.0000 0.0000 0.5000
0.1404 0.1404 0.9247
0.2981 0.2981 0.6008
0.3505 0.3505 0.2786
0.3890 0.3890 0.8734
0.6110 0.6110 0.1266
0.6495 0.6495 0.7214
0.7019 0.7019 0.3992
0.8596 0.8596 0.0753
```

Computed properties:
E_tot in eV for the cell shown: -99.2
Total moment in μB per formula unit: 0.0

=====

No. 2
Compound: KMg3Cu2
Source: OQMD via LeMat-Bulk
Functional: PBE
Structure: optimized geometry

```
KMg3Cu2
1.0
6.3461 0.0000 0.0000
-3.1730 5.4958 0.0000
0.0000 0.0000 3.9345
K Mg Cu
1 3 2
direct
0.0000 0.0000 0.0000
0.0000 0.5000 0.5000
0.5000 0.0000 0.5000
0.5000 0.5000 0.5000
0.3333 0.6667 0.0000
0.6667 0.3333 0.0000
```

Computed properties:
E_tot in eV for the cell shown: -12.6

=====

No. 3
Compound: K2Cu2Mo3
Source: OQMD via LeMat-Bulk
Functional: PBE
Structure: optimized geometry

```
K2Cu2Mo3
1.0
2.1727 1.2544 10.2911
-2.1727 1.2544 10.2911
0.0000 -2.5088 10.2911
K Cu Mo
2 2 3
direct
0.0000 0.0000 0.0000
0.4205 0.4205 0.4205
0.1508 0.1508 0.1508
0.6132 0.6132 0.6132
0.2347 0.2347 0.2347
0.5338 0.5338 0.5338
0.8528 0.8528 0.8528
```

Computed properties:
E_tot in eV for the cell shown: -37.2
Total moment in μB per formula unit: 0.0

=====

No. 4
Compound: KCuNiMo
Source: OQMD via LeMat-Bulk
Functional: PBE
Structure: optimized geometry

```
KCuNiMo
1.0
6.3317 0.0000 0.0000
0.0000 6.3317 0.0000
0.0000 0.0000 6.3317
K Cu Ni Mo
4 4 4 4
direct
0.0000 0.0000 0.0000
0.0000 0.5000 0.5000
0.5000 0.0000 0.5000
0.5000 0.5000 0.0000
0.2500 0.2500 0.2500
0.2500 0.7500 0.7500
0.7500 0.2500 0.7500
0.7500 0.7500 0.2500
0.0000 0.0000 0.5000
0.0000 0.5000 0.0000
0.5000 0.0000 0.0000
0.5000 0.5000 0.5000
0.2500 0.2500 0.7500
0.2500 0.7500 0.2500
0.7500 0.2500 0.2500
0.7500 0.7500 0.7500
```

Computed properties:
Distance to the lowest polymorph of the same formula in eV/f.u.: 0.24
Total moment in μB per formula unit: 0.0

=====

No. 5
Compound: KCuNiMo
Source: OQMD via LeMat-Bulk
Functional: PBE
Structure: optimized geometry

```
KCuNiMo
1.0
6.4495 0.0000 0.0000
0.0000 6.4495 0.0000
0.0000 0.0000 6.4495
K Cu Ni Mo
4 4 4 4
direct
0.0000 0.0000 0.0000
0.0000 0.5000 0.5000
0.5000 0.0000 0.5000
0.5000 0.5000 0.0000
0.0000 0.0000 0.5000
0.0000 0.5000 0.0000
0.5000 0.0000 0.0000
0.5000 0.5000 0.5000
0.2500 0.2500 0.7500
0.2500 0.7500 0.2500
0.7500 0.2500 0.2500
0.7500 0.7500 0.7500
0.2500 0.2500 0.2500
0.2500 0.7500 0.7500
0.7500 0.2500 0.7500
0.7500 0.7500 0.2500
```

Computed properties:
Distance to the lowest polymorph of the same formula in eV/f.u.: 0.87
Total moment in μB per formula unit: 2.8

=====

No. 6
Compound: KCuNiMo
Source: OQMD via LeMat-Bulk
Functional: PBE
Structure: optimized geometry

```
KCuNiMo
1.0
6.5439 0.0000 0.0000
0.0000 6.5439 0.0000
0.0000 0.0000 6.5439
K Cu Ni Mo
4 4 4 4
direct
0.0000 0.0000 0.0000
0.0000 0.5000 0.5000
0.5000 0.0000 0.5000
0.5000 0.5000 0.0000
0.2500 0.2500 0.7500
0.2500 0.7500 0.2500
0.7500 0.2500 0.2500
0.7500 0.7500 0.7500
0.2500 0.2500 0.2500
0.2500 0.7500 0.7500
0.7500 0.2500 0.7500
0.7500 0.7500 0.2500
0.0000 0.0000 0.5000
0.0000 0.5000 0.0000
0.5000 0.0000 0.0000
0.5000 0.5000 0.5000
```

Computed properties:
Distance to the lowest polymorph of the same formula in eV/f.u.: 0.00
Total moment in μB per formula unit: 2.6

=====

No. 7
Compound: KCuMoPd
Source: OQMD via LeMat-Bulk
Functional: PBE
Structure: optimized geometry

```
KCuMoPd
1.0
6.5092 0.0000 0.0000
0.0000 6.5092 0.0000
0.0000 0.0000 6.5092
K Cu Mo Pd
4 4 4 4
direct
0.0000 0.0000 0.0000
0.0000 0.5000 0.5000
0.5000 0.0000 0.5000
0.5000 0.5000 0.0000
0.2500 0.2500 0.2500
0.2500 0.7500 0.7500
0.7500 0.2500 0.7500
0.7500 0.7500 0.2500
0.2500 0.2500 0.7500
0.2500 0.7500 0.2500
0.7500 0.2500 0.2500
0.7500 0.7500 0.7500
0.0000 0.0000 0.5000
0.0000 0.5000 0.0000
0.5000 0.0000 0.0000
0.5000 0.5000 0.5000
```

Computed properties:
Distance to the lowest polymorph of the same formula in eV/f.u.: 0.32
Total moment in μB per formula unit: 0.0

=====

No. 8
Compound: KCuMoPd
Source: OQMD via LeMat-Bulk
Functional: PBE
Structure: optimized geometry

```
KCuMoPd
1.0
6.7421 0.0000 0.0000
0.0000 6.7421 0.0000
0.0000 0.0000 6.7421
K Cu Mo Pd
4 4 4 4
direct
0.0000 0.0000 0.0000
0.0000 0.5000 0.5000
0.5000 0.0000 0.5000
0.5000 0.5000 0.0000
0.0000 0.0000 0.5000
0.0000 0.5000 0.0000
0.5000 0.0000 0.0000
0.5000 0.5000 0.5000
0.2500 0.2500 0.2500
0.2500 0.7500 0.7500
0.7500 0.2500 0.7500
0.7500 0.7500 0.2500
0.2500 0.2500 0.7500
0.2500 0.7500 0.2500
0.7500 0.2500 0.2500
0.7500 0.7500 0.7500
```

Computed properties:
Distance to the lowest polymorph of the same formula in eV/f.u.: 0.65
Total moment in μB per formula unit: 4.1

=====

No. 9
Compound: KCuMoPd
Source: OQMD via LeMat-Bulk
Functional: PBE
Structure: optimized geometry

```
KCuMoPd
1.0
6.7995 0.0000 0.0000
0.0000 6.7995 0.0000
0.0000 0.0000 6.7995
K Cu Mo Pd
4 4 4 4
direct
0.0000 0.0000 0.0000
0.0000 0.5000 0.5000
0.5000 0.0000 0.5000
0.5000 0.5000 0.0000
0.2500 0.2500 0.7500
0.2500 0.7500 0.2500
0.7500 0.2500 0.2500
0.7500 0.7500 0.7500
0.0000 0.0000 0.5000
0.0000 0.5000 0.0000
0.5000 0.0000 0.0000
0.5000 0.5000 0.5000
0.2500 0.2500 0.2500
0.2500 0.7500 0.7500
0.7500 0.2500 0.7500
0.7500 0.7500 0.2500
```

Computed properties:
Distance to the lowest polymorph of the same formula in eV/f.u.: 0.00
Total moment in μB per formula unit: 3.5

=====

No. 10
Compound: KCu3MoS4
Source: OQMD via LeMat-Bulk
Functional: PBE
Structure: optimized geometry

```
KCu3MoS4
1.0
5.8771 0.0000 0.0000
0.0000 5.8771 0.0000
0.0000 0.0000 5.8771
K Cu Mo S
1 3 1 4
direct
0.0000 0.0000 0.0000
0.0000 0.5000 0.5000
0.5000 0.0000 0.5000
0.5000 0.5000 0.0000
0.5000 0.5000 0.5000
0.2760 0.2760 0.2760
0.2760 0.7240 0.7240
0.7240 0.2760 0.7240
0.7240 0.7240 0.2760
```

Computed properties:
E_tot in eV for the cell shown: -42.8
Total moment in μB per formula unit: 2.0

=====

No. 11
Compound: KCuMoSe2S
Source: OQMD via LeMat-Bulk
Functional: PBE
Structure: optimized geometry

```
KCuMoSe2S
1.0
1.9062 -7.3326 0.0000
1.9062 7.3326 0.0000
0.0000 0.0000 9.6291
K Cu Mo Se S
2 2 2 4 2
direct
0.2436 0.7564 0.7500
0.7564 0.2436 0.2500
0.0279 0.9721 0.2500
0.9721 0.0279 0.7500
0.5000 0.5000 0.0000
0.5000 0.5000 0.5000
0.1198 0.8802 0.0462
0.1198 0.8802 0.4538
0.8802 0.1198 0.5462
0.8802 0.1198 0.9538
0.4395 0.5605 0.2500
0.5605 0.4395 0.7500
```

Computed properties:
E_tot in eV for the cell shown: -60.0
Total moment in μB per formula unit: 2.0

=====

No. 12
Compound: KCuTeMoS2
Source: OQMD via LeMat-Bulk
Functional: PBE
Structure: optimized geometry

```
KCuTeMoS2
1.0
1.8732 -7.7846 0.0000
1.8732 7.7846 0.0000
0.0000 0.0000 9.9769
K Cu Te Mo S
2 2 2 2 4
direct
0.2145 0.7855 0.7500
0.7855 0.2145 0.2500
0.4745 0.5255 0.2500
0.5255 0.4745 0.7500
0.0905 0.9095 0.2500
0.9095 0.0905 0.7500
0.0000 0.0000 0.0000
0.0000 0.0000 0.5000
0.4000 0.6000 0.0580
0.4000 0.6000 0.4420
0.6000 0.4000 0.5580
0.6000 0.4000 0.9420
```

Computed properties:
E_tot in eV for the cell shown: -60.1
Total moment in μB per formula unit: 2.0

=====

No. 13
Compound: KCuMoSe3
Source: OQMD via LeMat-Bulk
Functional: PBE
Structure: optimized geometry

```
KCuMoSe3
1.0
1.9204 -7.3958 0.0000
1.9204 7.3958 0.0000
0.0000 0.0000 9.8772
K Cu Mo Se
2 2 2 6
direct
0.2456 0.7544 0.7500
0.7544 0.2456 0.2500
0.4686 0.5314 0.2500
0.5314 0.4686 0.7500
0.0000 0.0000 0.0000
0.0000 0.0000 0.5000
0.0697 0.9303 0.2500
0.3825 0.6175 0.0468
0.3825 0.6175 0.4532
0.6175 0.3825 0.5468
0.6175 0.3825 0.9532
0.9303 0.0697 0.7500
```

Computed properties:
E_tot in eV for the cell shown: -58.3
Total moment in μB per formula unit: 2.0

=====

No. 14
Compound: KCuTeMoSe2
Source: OQMD via LeMat-Bulk
Functional: PBE
Structure: optimized geometry

```
KCuTeMoSe2
1.0
1.9442 -7.8125 0.0000
1.9442 7.8125 0.0000
0.0000 0.0000 10.2279
K Cu Te Mo Se
2 2 2 2 4
direct
0.2254 0.7746 0.7500
0.7746 0.2254 0.2500
0.4718 0.5282 0.2500
0.5282 0.4718 0.7500
0.0820 0.9180 0.2500
0.9180 0.0820 0.7500
0.0000 0.0000 0.0000
0.0000 0.0000 0.5000
0.3913 0.6087 0.0518
0.3913 0.6087 0.4482
0.6087 0.3913 0.5518
0.6087 0.3913 0.9482
```

Computed properties:
E_tot in eV for the cell shown: -56.8
Total moment in μB per formula unit: 2.0

=====

No. 15
Compound: KCuTe3Mo
Source: OQMD via LeMat-Bulk
Functional: PBE
Structure: optimized geometry

```
KCuTe3Mo
1.0
2.0255 -7.8627 0.0000
2.0255 7.8627 0.0000
0.0000 0.0000 10.5751
K Cu Te Mo
2 2 6 2
direct
0.2426 0.7574 0.7500
0.7574 0.2426 0.2500
0.4659 0.5341 0.2500
0.5341 0.4659 0.7500
0.0709 0.9291 0.2500
0.3795 0.6205 0.0445
0.3795 0.6205 0.4555
0.6205 0.3795 0.5445
0.6205 0.3795 0.9555
0.9291 0.0709 0.7500
0.0000 0.0000 0.0000
0.0000 0.0000 0.5000
```

Computed properties:
E_tot in eV for the cell shown: -53.4
Total moment in μB per formula unit: 2.1

=====

No. 16
Compound: KNaCuP
Source: OQMD via LeMat-Bulk
Functional: PBE
Structure: optimized geometry

```
KNaCuP
1.0
5.8209 0.0000 0.0000
0.0000 5.3788 0.0000
-1.4825 0.0000 5.8994
K Na Cu P
2 2 2 2
direct
0.0438 0.2500 0.1903
0.9562 0.7500 0.8097
0.3335 0.7500 0.5009
0.6665 0.2500 0.4991
0.5000 0.0000 0.0000
0.5000 0.5000 0.0000
0.2801 0.2500 0.7335
0.7199 0.7500 0.2665
```

Computed properties:
Distance to the lowest polymorph of the same formula in eV/f.u.: 0.00

=====

No. 17
Compound: KNaCuP
Source: OQMD via LeMat-Bulk
Functional: PBE
Structure: optimized geometry

```
KNaCuP
1.0
5.4472 0.0000 0.0000
0.0000 9.3427 0.0000
0.0000 0.0000 7.3244
K Na Cu P
4 4 4 4
direct
0.0000 0.1716 0.0000
0.0000 0.3284 0.5000
0.0000 0.6716 0.5000
0.0000 0.8284 0.0000
0.5000 0.1685 0.7032
0.5000 0.3315 0.2032
0.5000 0.6685 0.2032
0.5000 0.8315 0.7032
0.2500 0.0000 0.3723
0.2500 0.5000 0.8723
0.7500 0.0000 0.3723
0.7500 0.5000 0.8723
0.0000 0.0000 0.6166
0.0000 0.5000 0.1166
0.5000 0.0000 0.1298
0.5000 0.5000 0.6298
```

Computed properties:
Distance to the lowest polymorph of the same formula in eV/f.u.: 0.09

=====

No. 18
Compound: KNaCuP
Source: OQMD via LeMat-Bulk
Functional: PBE
Structure: optimized geometry

```
KNaCuP
1.0
5.5344 0.0000 0.0000
0.0000 7.1951 0.0000
0.0000 0.0000 9.3168
K Na Cu P
4 4 4 4
direct
0.2500 0.1436 0.0000
0.2500 0.6436 0.5000
0.7500 0.3564 0.5000
0.7500 0.8564 0.0000
0.2500 0.1443 0.3418
0.2500 0.6443 0.8418
0.7500 0.3557 0.8418
0.7500 0.8557 0.3418
0.0000 0.0000 0.6749
0.0000 0.5000 0.1749
0.5000 0.0000 0.6749
0.5000 0.5000 0.1749
0.2500 0.2442 0.6644
0.2500 0.7442 0.1644
0.7500 0.2558 0.1644
0.7500 0.7558 0.6644
```

Computed properties:
Distance to the lowest polymorph of the same formula in eV/f.u.: 0.08

=====

No. 19
Compound: K2NaCu3P2
Source: OQMD via LeMat-Bulk
Functional: PBE
Structure: optimized geometry

```
K2NaCu3P2
1.0
2.7631 1.5953 6.5359
-2.7631 1.5953 6.5359
0.0000 -3.1906 6.5359
K Na Cu P
2 1 3 2
direct
0.0927 0.0927 0.0927
0.9073 0.9073 0.9073
0.5000 0.5000 0.5000
0.0000 0.5000 0.5000
0.5000 0.0000 0.5000
0.5000 0.5000 0.0000
0.2519 0.2519 0.2519
0.7481 0.7481 0.7481
```

Computed properties:
E_tot in eV for the cell shown: -27.6

=====

No. 20
Compound: K3NaCu2P2
Source: OQMD via LeMat-Bulk
Functional: PBE
Structure: optimized geometry

```
K3NaCu2P2
1.0
6.0469 0.0000 0.0000
0.0000 5.5969 0.0000
-1.5877 0.0000 5.9072
K Na Cu P
3 1 2 2
direct
0.0000 0.0000 0.0000
0.0718 0.5000 0.3761
0.3523 0.0000 0.6716
0.7007 0.5000 0.6874
0.5456 0.2480 0.2006
0.5456 0.7520 0.2006
0.3307 0.5000 0.9478
0.7794 0.0000 0.4454
```

Computed properties:
E_tot in eV for the cell shown: -25.5